No. 1
The following is a DFT calculation (PBE-GGA) of NpUSe2O after structural relaxation.

DOS at the Fermi energy, states/eV/f.u.: 9.13
ΔE_f (raw), eV per atom: -1.7315
Calculated density, g/cm³: 10.1

Lattice parameters (Å, degrees): 3.9690 3.9690 13.6099 90.00 90.00 90.00
Closest atoms and distances in Å follow each position.
Space group P4/nmm (No. 129, origin choice 2)
Unique sites:
Np 0.2500 0.2500 0.0885 [2 per cell]  4 O 2.32
U 0.2500 0.2500 0.5952 [2 per cell]  6 Se 2.83-2.93
Se 0.2500 0.2500 0.3802 [2 per cell]  5 U 2.83-2.93
Se 0.2500 0.2500 0.8075 [2 per cell]  1 U 2.89, 4 Np 3.14
O 0.2500 0.7500 0.0000 [2 per cell]  4 Np 2.32


No. 2
The following is a DFT calculation (PBE-GGA) of NbFe after structural relaxation.

DOS at the Fermi energy, states/eV/f.u.: 1.88
DFT formation energy, kJ/mol of atoms: 6
Calculated density, g/cm³: 8.4

Lattice parameters (Å, degrees): 3.1505 3.9930 14.0477 90.00 90.00 90.00
Closest atoms and distances in Å follow each position.
Space group Immm (No. 71)
Unique sites:
Nb 0.0000 0.0000 0.0000 [2 per cell]  8 Fe 2.54-2.81
Nb 0.0000 0.5000 0.3187 [4 per cell]  5 Fe 2.50-2.61
Fe 0.0000 0.0000 0.5000 [2 per cell]  4 Fe 2.53, 4 Nb 2.54
Fe 0.0000 0.5000 0.1409 [4 per cell]  5 Nb 2.50-2.61, 2 Fe 2.53


No. 3
The following is a DFT calculation (PBE-GGA) of Th2ScIn after structural relaxation.

Offset from the most stable computed form, eV per formula unit: 0.11
DOS at the Fermi energy, states/eV/f.u.: 5.53
DFT formation energy, kJ/mol of atoms: -15
Calculated density, g/cm³: 9.1

Lattice parameters (Å, degrees): 6.7396 5.0595 6.8624 90.00 103.22 90.00
Closest atoms and distances in Å follow each position.
Space group P2_1/m (No. 11)
Unique sites:
Th 0.1407 0.2500 0.4052 [2 per cell]  6 Th 3.37-3.62, 3 In 3.40-3.67, 4 Sc 3.42-3.50
Th 0.1488 0.2500 0.9164 [2 per cell]  6 Th 3.37-3.62, 4 In 3.40-3.52, 3 Sc 3.43-3.58
Sc 0.3806 0.7500 0.7127 [2 per cell]  2 In 2.99
In 0.3769 0.7500 0.2154 [2 per cell]  2 Sc 2.99


No. 4
The following is a DFT calculation (PBE-GGA) of Ta2Nb4Rh after structural relaxation.

Offset from the most stable computed form, eV per formula unit: 7.79
DOS at the Fermi energy, states/eV/f.u.: 9.56
DFT formation energy, kJ/mol of atoms: 106
Calculated density, g/cm³: 9.1

Lattice parameters (Å, degrees): 4.7864 4.7864 13.3192 90.00 90.00 90.00
Closest atoms and distances in Å follow each position.
Space group I4/mmm (No. 139)
Unique sites:
Ta 0.0000 0.0000 0.1166 [4 per cell]  5 Nb 2.55-2.85
Nb 0.0000 0.0000 0.3082 [4 per cell]  1 Ta 2.55, 1 Rh 2.55
Nb 0.0000 0.5000 0.0000 [4 per cell]  2 Rh 2.39
Rh 0.0000 0.0000 0.5000 [2 per cell]  6 Nb 2.39-2.55


No. 5
The following is a DFT calculation (PBE-GGA) of Dy8TlCu2 after structural relaxation.

Offset from the most stable computed form, eV per formula unit: 0.00
DOS at the Fermi energy, states/eV/f.u.: 9.73
DFT formation energy, kJ/mol of atoms: -13
Calculated density, g/cm³: 9.1

Lattice parameters (Å, degrees): 16.9408 4.9899 7.6764 90.00 113.96 90.00
Closest atoms and distances in Å follow each position.
Space group C2/m (No. 12)
Unique sites:
Dy 0.0489 0.0000 0.2543 [4 per cell]  1 Cu 2.82
Dy 0.0976 0.5000 0.9732 [4 per cell]  2 Cu 2.98, 1 Tl 3.32
Dy 0.1842 0.0000 0.7828 [4 per cell]  1 Cu 2.79
Dy 0.1848 0.5000 0.4807 [4 per cell]  1 Cu 2.75
Tl 0.0000 0.5000 0.5000 [2 per cell]  8 Dy 3.19-3.43
Cu 0.1912 0.0000 0.1519 [4 per cell]  5 Dy 2.75-2.98


No. 6
The following is a DFT calculation (PBE-GGA) of Nb3CuH after structural relaxation.

Offset from the most stable computed form, eV per formula unit: 0.00
DOS at the Fermi energy, states/eV/f.u.: 6.09
Calculated density, g/cm³: 8.1

Lattice parameters (Å, degrees): 4.1230 4.1230 4.1230 90.00 90.00 90.00
Closest atoms and distances in Å follow each position.
Space group Pm-3m (No. 221)
Unique sites:
Nb 0.0000 0.0000 0.5000 [3 per cell]  2 H 2.06
Cu 0.5000 0.5000 0.5000 [1 per cell]  12 Nb 2.92
H 0.0000 0.0000 0.0000 [1 per cell]  6 Nb 2.06


Number 1: magnetic moment 0.235 μB/atom. Number 2: magnetic moment 0.396 μB/atom. Number 3: magnetic moment 0.000 μB/atom. Number 4: magnetic moment 0.000 μB/atom. Number 5: magnetic moment 0.000 μB/atom. Number 6: magnetic moment 0.000 μB/atom.